(1)
Tm2SnTe6 | GGA-PBE | optimized geometry

Lattice parameters (Å, degrees): 7.0607 7.0607 13.3635 90.00 90.00 90.00
Last column: nearest neighbours and their distance in Å.
Atoms (fractional coordinates):
Tm 0.0000 0.0000 0.1608  6 Te 2.96-3.03
Tm 0.0000 0.0000 0.8392  6 Te 2.96-3.03
Tm 0.5000 0.5000 0.3392  6 Te 2.96-3.03
Tm 0.5000 0.5000 0.6608  6 Te 2.96-3.03
Sn 0.0000 0.0000 0.5000  6 Te 2.96-2.99
Sn 0.5000 0.5000 0.0000  6 Te 2.96-2.99
Te 0.1971 0.1971 0.3315  1 Sn 2.99, 2 Tm 3.01-3.03
Te 0.1971 0.1971 0.6685  1 Sn 2.99, 2 Tm 3.01-3.03
Te 0.2039 0.2039 0.0000  1 Sn 2.96, 2 Tm 2.96
Te 0.2961 0.7039 0.5000  1 Sn 2.96, 2 Tm 2.96
Te 0.3029 0.6971 0.1685  1 Sn 2.99, 2 Tm 3.01-3.03
Te 0.3029 0.6971 0.8315  1 Sn 2.99, 2 Tm 3.01-3.03
Te 0.6971 0.3029 0.1685  1 Sn 2.99, 2 Tm 3.01-3.03
Te 0.6971 0.3029 0.8315  1 Sn 2.99, 2 Tm 3.01-3.03
Te 0.7039 0.2961 0.5000  1 Sn 2.96, 2 Tm 2.96
Te 0.7961 0.7961 0.0000  1 Sn 2.96, 2 Tm 2.96
Te 0.8029 0.8029 0.3315  1 Sn 2.99, 2 Tm 3.01-3.03
Te 0.8029 0.8029 0.6685  1 Sn 2.99, 2 Tm 3.01-3.03

Calculated values
Uncorrected formation energy, eV/atom: -0.557
Density of states at the Fermi level, states/eV/f.u.: 10.45
Space group: P4_2/mnm (136)

(2)
Tm2SnTe4 | GGA-PBE | optimized geometry

Lattice parameters (Å, degrees): 16.5664 4.3707 7.5623 90.00 115.34 90.00
Last column: nearest neighbours and their distance in Å.
Atoms (fractional coordinates):
Tm 0.2398 0.0000 0.2230  6 Te 3.01-3.14
Tm 0.2602 0.5000 0.7770  6 Te 3.01-3.14
Tm 0.7398 0.5000 0.2230  6 Te 3.01-3.14
Tm 0.7602 0.0000 0.7770  6 Te 3.01-3.14
Sn 0.0000 0.5000 0.5000  6 Te 3.20-3.23
Sn 0.5000 0.0000 0.5000  6 Te 3.20-3.23
Te 0.1268 0.5000 0.9602  3 Tm 3.01-3.07, 1 Sn 3.20
Te 0.1404 0.0000 0.4848  3 Tm 3.07-3.14, 2 Sn 3.23
Te 0.3596 0.5000 0.5152  3 Tm 3.07-3.14, 2 Sn 3.23
Te 0.3732 0.0000 0.0398  3 Tm 3.01-3.07, 1 Sn 3.20
Te 0.6268 0.0000 0.9602  3 Tm 3.01-3.07, 1 Sn 3.20
Te 0.6404 0.5000 0.4848  3 Tm 3.07-3.14, 2 Sn 3.23
Te 0.8596 0.0000 0.5152  3 Tm 3.07-3.14, 2 Sn 3.23
Te 0.8732 0.5000 0.0398  3 Tm 3.01-3.07, 1 Sn 3.20

Calculated values
Uncorrected formation energy, eV/atom: -1.029
Space group: C2/m (12)

(3)
Tm2SnTe | GGA-PBE | optimized geometry

Lattice parameters (Å, degrees): 3.6361 3.6361 7.9779 90.00 90.00 90.00
Last column: nearest neighbours and their distance in Å.
Atoms (fractional coordinates):
Tm 0.0000 0.0000 0.2425  4 Te 3.22, 4 Sn 3.29
Tm 0.0000 0.0000 0.7575  4 Te 3.22, 4 Sn 3.29
Sn 0.5000 0.5000 0.5000  8 Tm 3.29, 4 Sn 3.64
Te 0.5000 0.5000 0.0000  8 Tm 3.22

Calculated values
Uncorrected formation energy, eV/atom: -0.780
Density of states at the Fermi level, states/eV/f.u.: 3.23
Space group: P4/mmm (123)

(4)
Tm5SnTe5 | GGA-PBE | optimized geometry

Lattice parameters (Å, degrees): 7.4722 7.4722 8.6006 106.75 106.75 48.21
Last column: nearest neighbours and their distance in Å.
Atoms (fractional coordinates):
Tm 0.0000 0.0000 0.0000  2 Sn 3.05, 4 Te 3.06-3.07
Tm 0.3381 0.3381 0.1677  1 Sn 2.99, 5 Te 3.01-3.11
Tm 0.3384 0.3384 0.6708  1 Sn 2.99, 5 Te 3.01-3.07
Tm 0.6616 0.6616 0.3292  1 Sn 2.99, 5 Te 3.01-3.07
Tm 0.6619 0.6619 0.8323  1 Sn 2.99, 5 Te 3.01-3.11
Sn 0.5000 0.5000 0.0000  6 Tm 2.99-3.05
Te 0.1663 0.1663 0.8298  5 Tm 3.05-3.10
Te 0.1675 0.1675 0.3371  5 Tm 3.05-3.11
Te 0.5000 0.5000 0.5000  4 Tm 3.01
Te 0.8325 0.8325 0.6629  5 Tm 3.05-3.11
Te 0.8337 0.8337 0.1702  5 Tm 3.05-3.10

Calculated values
Uncorrected formation energy, eV/atom: -1.228
Density of states at the Fermi level, states/eV/f.u.: 2.44
Space group: C2/m (12)

> Which value of uncorrected formation energy does entry 4 give?

-1.228 eV/atom

> What is the uncorrected formation energy in the fourth record?

-1.228 eV/atom

> Among the records above, which one has the highest uncorrected formation energy?

Tm2SnTe6